{"formula": "Y5MgMo2O12", "functional": "GGA+U", "state": "optimized geometry", "relative_energy_mev_per_atom": 0, "magmom_total_mub_per_cell": 3.00, "lattice": [[2.980, 6.196, -0.001], [-2.980, 6.196, -0.001], [0.000, 2.213, 7.140]], "species": ["O", "O", "O", "O", "O", "Y", "Mo", "Y", "O", "O", "Mg", "Y", "Y", "O", "Y", "O", "O", "O", "O", "Mo"], "fractional_positions": [[0.059, 0.596, 0.100], [0.910, 0.371, 0.440], [0.481, 0.481, 0.799], [0.404, 0.941, 0.900], [0.002, 0.002, 0.201], [0.197, 0.197, 0.144], [0.714, 0.286, 0.000], [0.803, 0.803, 0.856], [0.371, 0.910, 0.440], [0.596, 0.059, 0.100], [0.000, 0.000, 0.500], [0.206, 0.206, 0.647], [0.500, 0.500, 0.500], [0.519, 0.519, 0.201], [0.794, 0.794, 0.353], [0.629, 0.090, 0.560], [0.941, 0.404, 0.900], [0.090, 0.629, 0.560], [0.998, 0.998, 0.799], [0.286, 0.714, 0.000]]}